1.
Entry from Alexandria: crystalline Ga2Cu3Pd at its relaxed geometry (GGA-PBE).

The structure belongs to space group C2/c (No. 15); the cell edges are 6.7331, 7.3432 and 6.8546 Å and the angles 90.00°, 100.80° and 90.00°. The asymmetric unit holds Ga at (0.1371, 0.2415, 0.1337), Cu at (0.0000, 0.1028, 0.7500), Cu at (0.2152, 0.0869, 0.4884) and Pd at (0.0000, 0.4501, 0.7500).

***

2.
Entry from Alexandria: crystalline Ga2Cu3Pd at its relaxed geometry (GGA-PBE).

The structure belongs to space group C2/c (No. 15); the cell edges are 7.0477, 7.0633 and 8.2581 Å and the angles 90.00°, 108.74° and 90.00°. The asymmetric unit holds Ga at (0.1712, 0.1118, 0.2097), Cu at (0.0000, 0.4173, 0.2500), Cu at (0.1579, 0.4056, 0.0243) and Pd at (0.0000, 0.1978, 0.7500).

***

Top of the stability list: 1, leading by 58 meV per atom.

***

1.
Entry from Alexandria: crystalline Ga6CuPd2 at its relaxed geometry (GGA-PBE).

The structure belongs to space group P2_1/c (No. 14); the cell edges are 6.1200, 6.5838 and 9.1349 Å and the angles 90.00°, 123.49° and 90.00°. The asymmetric unit holds Ga at (0.0580, 0.1524, 0.4199), Ga at (0.3163, 0.6709, 0.4479), Ga at (0.4210, 0.5290, 0.7970), Cu at (0.0000, 0.0000, 0.0000) and Pd at (0.2180, 0.1644, 0.7478).

***

2.
Entry from Alexandria: crystalline Ga6CuPd2 at its relaxed geometry (GGA-PBE).

The structure belongs to space group P-3m1 (No. 164); the cell edges are 4.2234, 4.2234 and 10.2834 Å and the angles 90.00°, 90.00° and 120.00°. The asymmetric unit holds Ga at (0.0000, 0.0000, 0.2459), Ga at (0.3333, 0.6667, 0.4198), Ga at (0.3333, 0.6667, 0.9245), Cu at (0.0000, 0.0000, 0.0000) and Pd at (0.3333, 0.6667, 0.6729).

***

Top of the stability list: 2, leading by 59 meV per atom.

***

1.
Entry from Alexandria: crystalline GaCu2Pd6 at its relaxed geometry (GGA-PBE).

The structure belongs to space group Fmmm (No. 69); the cell edges are 4.0864, 10.4273 and 12.2706 Å and the angles 90.00°, 90.00° and 90.00°. The asymmetric unit holds Ga at (0.0000, 0.0000, 0.0000), Cu at (0.0000, 0.0000, 0.3273), Pd at (0.0000, 0.1525, 0.5000) and Pd at (0.0000, 0.1580, 0.1647).

***

2.
Entry from Alexandria: crystalline GaCu2Pd6 at its relaxed geometry (GGA-PBE).

The structure belongs to space group Immm (No. 71); the cell edges are 4.1358, 5.8522 and 12.3434 Å and the angles 90.00°, 90.00° and 90.00°. The asymmetric unit holds Ga at (0.0000, 0.0000, 0.0000), Cu at (0.0000, 0.0000, 0.3333), Pd at (0.0000, 0.2497, 0.1659) and Pd at (0.0000, 0.2519, 0.5000).

***

Top of the stability list: 1, leading by 262 meV per atom.

***

1.
Entry from Alexandria: crystalline Ga2CuPd8 at its relaxed geometry (GGA-PBE).

The structure belongs to space group C2/m (No. 12); the cell edges are 13.6470, 4.1039 and 6.2581 Å and the angles 90.00°, 109.30° and 90.00°. The asymmetric unit holds Ga at (0.2166, 0.0000, 0.1593), Cu at (0.0000, 0.5000, 0.5000), Pd at (0.0403, 0.0000, 0.2344), Pd at (0.1028, 0.5000, 0.9622), Pd at (0.1521, 0.0000, 0.7137) and Pd at (0.1754, 0.5000, 0.4274).

***

2.
Entry from Alexandria: crystalline Ga2CuPd8 at its relaxed geometry (GGA-PBE).

The structure belongs to space group Immm (No. 71); the cell edges are 4.0961, 7.0063 and 11.7547 Å and the angles 90.00°, 90.00° and 90.00°. The asymmetric unit holds Ga at (0.0000, 0.0000, 0.1945), Cu at (0.0000, 0.0000, 0.5000), Pd at (0.0000, 0.1938, 0.0000), Pd at (0.0000, 0.2782, 0.3413) and Pd at (0.0000, 0.5000, 0.1450).

***

Top of the stability list: 1, leading by 8 meV per atom.